First-principles (PBE) data for Pr2Au2O5 after structural relaxation, as listed in the Open Quantum Materials Database.

Cell: 9.4235 4.0071 4.0071 Å, 90.00 90.00 90.00°
With the nearest neighbours (Å) after each atom.
Positions (direct):
Pr 0.7462 0.5000 0.5000  5 O 2.29-2.32
Pr 0.2538 0.5000 0.5000  5 O 2.29-2.32
O 0.5000 0.5000 0.5000  2 Pr 2.32
O 0.8638 0.0000 0.5000  2 Pr 2.29, 2 Au 2.38
O 0.8638 0.5000 0.0000  2 Pr 2.29, 2 Au 2.38
O 0.1362 0.0000 0.5000  2 Pr 2.29, 2 Au 2.38
O 0.1362 0.5000 0.0000  2 Pr 2.29, 2 Au 2.38
Au 0.0000 0.0000 0.0000  8 O 2.38
Au 0.5000 0.0000 0.0000  4 O 2.83

Its crystal system is tetragonal.

First-principles (PBE) data for KPrCuSe3 after structural relaxation, as listed in the Open Quantum Materials Database.

Cell: 9.1335 4.2016 9.6917 Å, 90.00 105.49 90.00°
With the nearest neighbours (Å) after each atom.
Positions (direct):
Se 0.1832 0.7500 0.0299  3 Cu 2.45-2.46
Se 0.0963 0.2500 0.3570  1 Cu 2.43
Se 0.9037 0.7500 0.6430  1 Cu 2.43
Se 0.4547 0.7500 0.6677  3 Pr 2.96-2.97
Se 0.8168 0.2500 0.9701  3 Cu 2.45-2.46
Se 0.5453 0.2500 0.3323  3 Pr 2.96-2.97
K 0.2021 0.2500 0.7378  7 Se 3.32-3.57
K 0.7979 0.7500 0.2622  7 Se 3.32-3.57
Cu 0.0855 0.2500 0.1033  4 Se 2.43-2.46
Cu 0.9145 0.7500 0.8967  4 Se 2.43-2.46
Pr 0.6775 0.2500 0.6460  6 Se 2.95-3.06
Pr 0.3225 0.7500 0.3540  6 Se 2.95-3.06

Its crystal system is monoclinic.

First-principles (PBE) data for NaNdU after structural relaxation, as listed in the Open Quantum Materials Database.

Cell: 5.2731 5.2731 5.2731 Å, 60.00 60.00 60.00°
With the nearest neighbours (Å) after each atom.
Positions (direct):
Na 0.0000 0.0000 0.0000  4 Nd 3.23, 4 U 3.23
Nd 0.2500 0.2500 0.2500  4 Na 3.23
U 0.7500 0.7500 0.7500  4 Na 3.23

Its crystal system is cubic.

First-principles (PBE) data for LuAlTl after structural relaxation, as listed in the Open Quantum Materials Database.

Cell: 4.7924 4.7924 4.7924 Å, 60.00 60.00 60.00°
With the nearest neighbours (Å) after each atom.
Positions (direct):
Tl 0.0000 0.0000 0.0000  4 Al 2.93, 4 Lu 2.93
Al 0.2500 0.2500 0.2500  4 Tl 2.93
Lu 0.7500 0.7500 0.7500  4 Tl 2.93

Its crystal system is cubic.

First-principles (PBE) data for Zr4Si3 after structural relaxation, as listed in the Open Quantum Materials Database.

Cell: 7.9597 7.9596 4.8839 Å, 90.00 90.00 60.00°
With the nearest neighbours (Å) after each atom.
Positions (direct):
Si 0.3745 0.1309 0.5000  5 Zr 2.69-2.84, 2 Si 2.89
Si 0.2089 0.8031 0.5000  5 Zr 2.69-2.84, 2 Si 2.89
Si 0.3149 0.5779 0.0000  5 Zr 2.69-2.84, 2 Si 2.89
Si 0.8215 0.7435 0.0000  5 Zr 2.69-2.84, 2 Si 2.89
Si 0.7023 0.6375 0.5000  5 Zr 2.69-2.84, 2 Si 2.89
Si 0.1493 0.2501 0.0000  5 Zr 2.69-2.84, 2 Si 2.89
Zr 0.7645 0.9463 0.5000  4 Si 2.69-2.84
Zr 0.0952 0.5238 0.5000  3 Si 2.79, 3 Zr 3.06
Zr 0.7593 0.4347 0.0000  4 Si 2.69-2.84
Zr 0.5177 0.4321 0.5000  4 Si 2.69-2.84
Zr 0.4286 0.8571 0.0000  3 Si 2.79, 3 Zr 3.06
Zr 0.0035 0.1930 0.5000  4 Si 2.69-2.84
Zr 0.5203 0.1879 0.0000  4 Si 2.69-2.84
Zr 0.0061 0.9488 0.0000  4 Si 2.69-2.84

Its crystal system is hexagonal.

First-principles (PBE) data for KHfPdSe2S after structural relaxation, as listed in the Open Quantum Materials Database.

Cell: 8.5126 3.8568 9.7628 Å, 90.00 111.17 90.00°
With the nearest neighbours (Å) after each atom.
Positions (direct):
K 0.2581 0.2500 0.7189  4 Se 3.28-3.36, 2 S 3.32, 1 Pd 3.59
K 0.7419 0.7500 0.2811  4 Se 3.28-3.36, 2 S 3.32, 1 Pd 3.59
Se 0.3969 0.2500 0.1435  1 Pd 2.62, 2 Hf 2.68
Se 0.6031 0.7500 0.8565  1 Pd 2.62, 2 Hf 2.68
Se 0.0482 0.7500 0.8644  3 Hf 2.74-2.79
Se 0.9518 0.2500 0.1356  3 Hf 2.74-2.79
S 0.7553 0.2500 0.5614  2 Pd 2.39, 1 Hf 2.49
S 0.2447 0.7500 0.4386  2 Pd 2.39, 1 Hf 2.49
Hf 0.8087 0.2500 0.8294  1 S 2.49, 4 Se 2.68-2.74
Hf 0.1913 0.7500 0.1706  1 S 2.49, 4 Se 2.68-2.74
Pd 0.6034 0.7500 0.5880  2 S 2.39, 1 Se 2.62
Pd 0.3966 0.2500 0.4120  2 S 2.39, 1 Se 2.62

Its crystal system is monoclinic.

First-principles (PBE) data for PrDyFe2Ge2C after structural relaxation, as listed in the Open Quantum Materials Database.

Cell: 5.7878 5.7878 6.9711 Å, 126.16 126.16 40.73°
With the nearest neighbours (Å) after each atom.
Positions (direct):
Pr 0.4395 0.4395 0.7035  2 C 2.69
Ge 0.8326 0.8326 0.2782  3 Fe 2.36
Ge 0.1663 0.1663 0.7174  3 Fe 2.38-2.41
Dy 0.5551 0.5551 0.2852  2 C 2.58
Fe 0.8077 0.8077 0.9158  1 C 1.79
Fe 0.1951 0.1951 0.0889  1 C 1.79
C 0.0037 0.0037 0.0110  2 Fe 1.79

Its crystal system is monoclinic.

First-principles (PBE) data for CoAgBOs after structural relaxation, as listed in the Open Quantum Materials Database.

Cell: 4.1283 4.1283 4.1283 Å, 60.00 60.00 60.00°
With the nearest neighbours (Å) after each atom.
Positions (direct):
Os 0.2500 0.2500 0.2500  4 Ag 2.53, 4 B 2.53
B 0.0000 0.0000 0.0000  4 Co 2.53, 4 Os 2.53
Ag 0.5000 0.5000 0.5000  4 Os 2.53, 4 Co 2.53
Co 0.7500 0.7500 0.7500  4 B 2.53, 4 Ag 2.53

Its crystal system is cubic.

First-principles (PBE) data for DyCuSe2 after structural relaxation, as listed in the Open Quantum Materials Database.

Cell: 13.9649 4.1136 6.5547 Å, 90.00 90.00 90.00°
With the nearest neighbours (Å) after each atom.
Positions (direct):
Se 0.7092 0.7500 0.2599  1 Cu 2.42
Se 0.2092 0.7500 0.2401  1 Cu 2.42
Se 0.7908 0.2500 0.7599  1 Cu 2.42
Se 0.4547 0.2500 0.2466  3 Cu 2.52
Se 0.2908 0.2500 0.7401  1 Cu 2.42
Se 0.0453 0.7500 0.7466  3 Cu 2.52
Se 0.9547 0.2500 0.2534  3 Cu 2.52
Se 0.5453 0.7500 0.7534  3 Cu 2.52
Cu 0.0458 0.7500 0.3625  4 Se 2.42-2.52
Cu 0.4542 0.2500 0.8625  4 Se 2.42-2.52
Cu 0.5458 0.7500 0.1375  4 Se 2.42-2.52
Cu 0.9542 0.2500 0.6375  4 Se 2.42-2.52
Dy 0.1293 0.2500 0.0127  6 Se 2.77-2.94
Dy 0.3707 0.7500 0.5127  6 Se 2.77-2.94
Dy 0.6293 0.2500 0.4873  6 Se 2.77-2.94
Dy 0.8707 0.7500 0.9873  6 Se 2.77-2.94

Its crystal system is orthorhombic.

First-principles (PBE) data for NdAlInAu2 after structural relaxation, as listed in the Open Quantum Materials Database.

Cell: 4.5141 4.5141 10.9566 Å, 90.00 90.00 90.00°
With the nearest neighbours (Å) after each atom.
Positions (direct):
Au 0.5000 0.0000 0.3875  4 Al 2.57, 1 In 2.67
Au 0.5000 0.5000 0.0000  4 In 2.76
Au 0.0000 0.5000 0.6125  4 Al 2.57, 1 In 2.67
Au 0.0000 0.0000 0.0000  4 In 2.76
Al 0.5000 0.5000 0.5000  4 Au 2.57
Al 0.0000 0.0000 0.5000  4 Au 2.57
Nd 0.5000 0.0000 0.7429  4 In 3.42, 4 Al 3.49, 8 Au 3.50-3.61
Nd 0.0000 0.5000 0.2571  4 In 3.42, 4 Al 3.49, 8 Au 3.50-3.61
In 0.5000 0.0000 0.1442  5 Au 2.67-2.76
In 0.0000 0.5000 0.8558  5 Au 2.67-2.76

Its crystal system is tetragonal.

First-principles (PBE) data for Er2AsBrF after structural relaxation, as listed in the Open Quantum Materials Database.

Cell: 3.9053 3.9053 8.3276 Å, 90.00 90.00 120.00°
With the nearest neighbours (Å) after each atom.
Positions (direct):
Er 0.3333 0.6667 0.2193  3 F 2.41
Er 0.6667 0.3333 0.8303  3 As 2.76, 3 Br 2.92
Br 0.3333 0.6667 0.6070  4 Er 2.92-3.23
As 0.0000 0.0000 0.0222  6 Er 2.76-2.79
F 0.6667 0.3333 0.3211  3 Er 2.41

Its crystal system is trigonal.

First-principles (PBE) data for KBa3Pd after structural relaxation, as listed in the Open Quantum Materials Database.

Cell: 6.4560 6.4560 6.4560 Å, 90.00 90.00 90.00°
With the nearest neighbours (Å) after each atom.
Positions (direct):
Ba 0.0000 0.0000 0.5000  2 Pd 3.23
Ba 0.0000 0.5000 0.0000  2 Pd 3.23
Ba 0.5000 0.0000 0.0000  2 Pd 3.23
Pd 0.0000 0.0000 0.0000  6 Ba 3.23
K 0.5000 0.5000 0.5000  12 Ba 4.57

Its crystal system is cubic.

Final energy values, unit eV/atom, following the record order: -5.815 -4.496 -4.286 -3.458 -7.660 -5.665 -6.917 -5.954 -5.040 -4.159 -5.564 -2.642.